The following is a PBE-GGA calculation of a geometry-optimized Sc3Cd3Pt2 structure, from Alexandria.

volume: 20.30 Å³/atom
energy relative to the elements: -0.77 eV/atom
total magnetization: 0.0 μB per formula unit

a = 7.505 Å, b = 7.505 Å, c = 3.330 Å
α = 90.00°, β = 90.00°, γ = 120.00°
Sites, in units of the cell vectors:
Sc: 0.000 0.426 0.000
Sc: 0.426 0.000 0.000
Sc: 0.574 0.574 0.000
Cd: 0.000 0.773 0.500
Cd: 0.227 0.227 0.500
Cd: 0.773 0.000 0.500
Pt: 0.333 0.667 0.500
Pt: 0.667 0.333 0.500